Record 1
Material: Dy3Y7Sc
Method: DFT, PBE
State: relaxed

Properties
Formation energy from the elements   147 meV/atom
Size of the total moment   0.00 μB per formula unit
Electronic total energy   -63.77 eV per formula unit
D(E_F)   18.00 states/eV/cell
ΔE to the lowest computed polymorph   0.0000 eV/atom

a b c (Å): 9.7916 9.7916 6.5408
angles (deg): 100.67 100.67 138.71
Fractional coordinates of all 11 atoms:
Dy: 0.0000 0.0000 0.0000
Dy: 0.0000 0.5000 0.5000
Dy: 0.5000 0.0000 0.5000
Y: 0.0864 0.9136 0.5000
Y: 0.1223 0.4418 0.0611
Y: 0.4418 0.1223 0.0611
Y: 0.5000 0.5000 0.5000
Y: 0.5582 0.8777 0.9389
Y: 0.8777 0.5582 0.9389
Y: 0.9136 0.0864 0.5000
Sc: 0.5000 0.5000 0.0000


Record 2
Material: Dy2YSc3
Method: DFT, PBE
State: relaxed

Properties
Formation energy from the elements   231 meV/atom
Size of the total moment   1.64 μB per formula unit
Electronic total energy   -33.28 eV per formula unit
D(E_F)   28.27 states/eV/cell
ΔE to the lowest computed polymorph   0.1704 eV/atom

a b c (Å): 6.3155 6.3155 10.2687
angles (deg): 90.00 90.00 120.00
Fractional coordinates of all 12 atoms:
Dy: 0.0000 0.0000 0.0000
Dy: 0.0000 0.0000 0.5000
Dy: 0.3333 0.6667 0.0624
Dy: 0.6667 0.3333 0.9376
Y: 0.3333 0.6667 0.4367
Y: 0.6667 0.3333 0.5633
Sc: 0.1714 0.3428 0.7503
Sc: 0.1714 0.8286 0.7503
Sc: 0.3428 0.1714 0.2497
Sc: 0.6572 0.8286 0.7503
Sc: 0.8286 0.1714 0.2497
Sc: 0.8286 0.6572 0.2497


Record 3
Material: Dy4Y19Sc6
Method: DFT, PBE
State: relaxed

Properties
Formation energy from the elements   384 meV/atom
Size of the total moment   3.25 μB per formula unit
Electronic total energy   -168.07 eV per formula unit
D(E_F)   39.21 states/eV/cell

a b c (Å): 10.6589 10.6589 10.6589
angles (deg): 109.47 109.47 109.47
Fractional coordinates of all 29 atoms:
Dy: 0.0000 0.0000 0.3581
Dy: 0.0000 0.3581 0.0000
Dy: 0.3581 0.0000 0.0000
Dy: 0.6419 0.6419 0.6419
Y: 0.0000 0.0000 0.0000
Y: 0.0000 0.2661 0.2661
Y: 0.0000 0.7339 0.7339
Y: 0.0067 0.2245 0.6669
Y: 0.2178 0.9933 0.6602
Y: 0.2245 0.6669 0.0067
Y: 0.2661 0.0000 0.2661
Y: 0.2661 0.2661 0.0000
Y: 0.3331 0.5577 0.3398
Y: 0.3398 0.3331 0.5577
Y: 0.4423 0.7755 0.7822
Y: 0.5577 0.3398 0.3331
Y: 0.6602 0.2178 0.9933
Y: 0.6669 0.0067 0.2245
Y: 0.7339 0.0000 0.7339
Y: 0.7339 0.7339 0.0000
Y: 0.7755 0.7822 0.4423
Y: 0.7822 0.4423 0.7755
Y: 0.9933 0.6602 0.2178
Sc: 0.1163 0.5000 0.6163
Sc: 0.3837 0.8837 0.5000
Sc: 0.5000 0.3837 0.8837
Sc: 0.5000 0.6163 0.1163
Sc: 0.6163 0.1163 0.5000
Sc: 0.8837 0.5000 0.3837


Record 4
Material: Dy3Y8Sc2
Method: DFT, PBE
State: relaxed

Properties
Formation energy from the elements   229 meV/atom
Size of the total moment   0.00 μB per formula unit
Electronic total energy   -75.20 eV per formula unit
D(E_F)   16.12 states/eV/cell
ΔE to the lowest computed polymorph   0.0000 eV/atom

a b c (Å): 8.6787 8.6787 6.6893
angles (deg): 106.23 106.23 63.20
Fractional coordinates of all 13 atoms:
Dy: 0.0000 0.0000 0.0000
Dy: 0.1700 0.8300 0.5000
Dy: 0.8300 0.1700 0.5000
Y: 0.1894 0.1894 0.8947
Y: 0.1980 0.5604 0.8051
Y: 0.4073 0.4073 0.2813
Y: 0.4396 0.8020 0.1949
Y: 0.5604 0.1980 0.8051
Y: 0.5927 0.5927 0.7187
Y: 0.8020 0.4396 0.1949
Y: 0.8106 0.8106 0.1053
Sc: 0.2006 0.2006 0.4224
Sc: 0.7994 0.7994 0.5776


Record 5
Material: DyY2Sc7
Method: DFT, PBE
State: relaxed

Properties
Formation energy from the elements   600 meV/atom
Size of the total moment   0.00 μB per formula unit
Electronic total energy   -55.85 eV per formula unit
D(E_F)   13.30 states/eV/cell

a b c (Å): 9.4042 9.4042 4.9675
angles (deg): 90.00 90.00 133.16
Fractional coordinates of all 10 atoms:
Dy: 0.0000 0.0000 0.0000
Y: 0.2630 0.7370 0.5000
Y: 0.7370 0.2630 0.5000
Sc: 0.1008 0.2918 0.5000
Sc: 0.2918 0.1008 0.5000
Sc: 0.4088 0.5912 0.0000
Sc: 0.5000 0.5000 0.5000
Sc: 0.5912 0.4088 0.0000
Sc: 0.7082 0.8992 0.5000
Sc: 0.8992 0.7082 0.5000


Record 6
Material: DyY8Sc3
Method: DFT, PBE
State: relaxed

Properties
Formation energy from the elements   21 meV/atom
Size of the total moment   0.00 μB per formula unit
Electronic total energy   -75.05 eV per formula unit
D(E_F)   23.27 states/eV/cell

a b c (Å): 8.2998 8.2998 8.2998
angles (deg): 99.46 96.40 136.39
Fractional coordinates of all 12 atoms:
Dy: 0.0000 0.0000 0.0000
Y: 0.0134 0.3520 0.3386
Y: 0.0134 0.6748 0.6614
Y: 0.4220 0.0049 0.0893
Y: 0.4220 0.3328 0.4171
Y: 0.5086 0.3443 0.8357
Y: 0.5086 0.6729 0.1643
Y: 0.9157 0.0049 0.5829
Y: 0.9157 0.3328 0.9107
Sc: 0.4242 0.6762 0.7480
Sc: 0.5009 0.0009 0.5000
Sc: 0.9282 0.6762 0.2520


Record 7
Material: Dy4Y8Sc
Method: DFT, PBE
State: relaxed

Properties
Formation energy from the elements   192 meV/atom
Size of the total moment   0.00 μB per formula unit
Electronic total energy   -73.96 eV per formula unit
D(E_F)   19.65 states/eV/cell

a b c (Å): 9.9678 9.9678 9.9678
angles (deg): 42.81 42.81 42.81
Fractional coordinates of all 13 atoms:
Dy: 0.0000 0.0000 0.0000
Dy: 0.0000 0.5000 0.5000
Dy: 0.5000 0.0000 0.5000
Dy: 0.5000 0.5000 0.0000
Y: 0.2014 0.7458 0.7458
Y: 0.2164 0.2164 0.2164
Y: 0.2542 0.2542 0.7986
Y: 0.2542 0.7986 0.2542
Y: 0.7458 0.2014 0.7458
Y: 0.7458 0.7458 0.2014
Y: 0.7836 0.7836 0.7836
Y: 0.7986 0.2542 0.2542
Sc: 0.5000 0.5000 0.5000


Record 8
Material: Dy5Y12Sc3
Method: DFT, PBE
State: relaxed

Properties
Formation energy from the elements   1062 meV/atom
Size of the total moment   0.01 μB per formula unit
Electronic total energy   -98.33 eV per formula unit
D(E_F)   158.22 states/eV/cell

a b c (Å): 16.0783 16.0783 16.0783
angles (deg): 109.47 109.47 109.47
Fractional coordinates of all 80 atoms:
Dy: 0.0000 0.0000 0.0000
Dy: 0.0000 0.0000 0.5000
Dy: 0.0000 0.5000 0.0000
Dy: 0.0000 0.5000 0.5000
Dy: 0.1250 0.7500 0.8750
Dy: 0.1250 0.8750 0.2500
Dy: 0.2500 0.1250 0.8750
Dy: 0.2500 0.6250 0.3750
Dy: 0.3750 0.2500 0.6250
Dy: 0.3750 0.6250 0.7500
Dy: 0.5000 0.0000 0.0000
Dy: 0.5000 0.0000 0.5000
Dy: 0.5000 0.5000 0.0000
Dy: 0.5000 0.5000 0.5000
Dy: 0.6250 0.3750 0.2500
Dy: 0.6250 0.7500 0.3750
Dy: 0.7500 0.3750 0.6250
Dy: 0.7500 0.8750 0.1250
Dy: 0.8750 0.1250 0.7500
Dy: 0.8750 0.2500 0.1250
Y: 0.0602 0.6380 0.4067
Y: 0.0602 0.9223 0.6535
Y: 0.0777 0.2313 0.1380
Y: 0.0777 0.3465 0.9398
Y: 0.0933 0.7313 0.6535
Y: 0.0933 0.8620 0.4398
Y: 0.1380 0.0777 0.2313
Y: 0.1380 0.5602 0.9067
Y: 0.1535 0.2313 0.5933
Y: 0.1535 0.4223 0.5602
Y: 0.2313 0.1380 0.0777
Y: 0.2313 0.5933 0.1535
Y: 0.2687 0.3465 0.9067
Y: 0.2687 0.4223 0.3620
Y: 0.3465 0.9067 0.2687
Y: 0.3465 0.9398 0.0777
Y: 0.3620 0.2687 0.4223
Y: 0.3620 0.5933 0.9398
Y: 0.4067 0.0602 0.6380
Y: 0.4067 0.8465 0.7687
Y: 0.4223 0.3620 0.2687
Y: 0.4223 0.5602 0.1535
Y: 0.4398 0.0933 0.8620
Y: 0.4398 0.8465 0.5777
Y: 0.5602 0.1535 0.4223
Y: 0.5602 0.9067 0.1380
Y: 0.5777 0.4398 0.8465
Y: 0.5777 0.6380 0.7313
Y: 0.5933 0.1535 0.2313
Y: 0.5933 0.9398 0.3620
Y: 0.6380 0.4067 0.0602
Y: 0.6380 0.7313 0.5777
Y: 0.6535 0.0602 0.9223
Y: 0.6535 0.0933 0.7313
Y: 0.7313 0.5777 0.6380
Y: 0.7313 0.6535 0.0933
Y: 0.7687 0.4067 0.8465
Y: 0.7687 0.8620 0.9223
Y: 0.8465 0.5777 0.4398
Y: 0.8465 0.7687 0.4067
Y: 0.8620 0.4398 0.0933
Y: 0.8620 0.9223 0.7687
Y: 0.9067 0.1380 0.5602
Y: 0.9067 0.2687 0.3465
Y: 0.9223 0.6535 0.0602
Y: 0.9223 0.7687 0.8620
Y: 0.9398 0.0777 0.3465
Y: 0.9398 0.3620 0.5933
Sc: 0.1250 0.2500 0.3750
Sc: 0.1250 0.3750 0.7500
Sc: 0.2500 0.3750 0.1250
Sc: 0.2500 0.8750 0.6250
Sc: 0.3750 0.1250 0.2500
Sc: 0.3750 0.7500 0.1250
Sc: 0.6250 0.2500 0.8750
Sc: 0.6250 0.8750 0.7500
Sc: 0.7500 0.1250 0.3750
Sc: 0.7500 0.6250 0.8750
Sc: 0.8750 0.6250 0.2500
Sc: 0.8750 0.7500 0.6250